Ba2LiHg6Pt | the Alexandria database | PBE-GGA | optimized geometry; volume = 290.5 Å³/f.u.; final energy = -17.10 eV/cell; Fermi-level density of states = 4.42 states/eV per cell; ΔH_f (0 K) = -337 kJ/mol of formula units
1.0
-1.652 -2.251 6.898
-2.174 -6.594 -2.677
2.975 -6.244 2.670
Ba Li Hg Pt
2 1 6 1
Direct
0.750 0.250 0.500
0.250 0.750 0.500
0.500 0.500 0.000
0.742 0.742 0.998
0.740 0.740 0.517
0.258 0.258 0.002
0.260 0.260 0.483
0.258 0.742 0.000
0.742 0.258 0.000
0.000 0.000 0.000